1.
# Ta2Al | Alexandria | GGA-PBEsol | relaxed
data_Ta2Al
_space_group_name_H-M_alt 'I 41/a m d'
_space_group_IT_number 141
_cell_length_a 3.9510
_cell_length_b 3.9510
_cell_length_c 25.8602
_cell_angle_alpha 90.00
_cell_angle_beta 90.00
_cell_angle_gamma 90.00
loop_
_space_group_symop_operation_xyz
'x,y,z'
'-x,-y,-z'
'-y+1/4,x+3/4,z+1/4'
'y+1/4,-x+3/4,-z+1/4'
'-x+1/2,-y,z+1/2'
'x+1/2,y,-z+1/2'
'y+1/4,-x+1/4,z+3/4'
'-y+1/4,x+1/4,-z+3/4'
'x,-y,-z'
'-x,y,z'
'-y+1/4,-x+1/4,-z+3/4'
'y+1/4,x+1/4,z+3/4'
'-x+1/2,y,-z+1/2'
'x+1/2,-y,z+1/2'
'y+1/4,x+3/4,-z+1/4'
'-y+1/4,-x+3/4,z+1/4'
'x+1/2,y+1/2,z+1/2'
'-x+1/2,-y+1/2,-z+1/2'
'-y+3/4,x+1/4,z+3/4'
'y+3/4,-x+1/4,-z+3/4'
'-x,-y+1/2,z'
'x,y+1/2,-z'
'y+3/4,-x+3/4,z+1/4'
'-y+3/4,x+3/4,-z+1/4'
'x+1/2,-y+1/2,-z+1/2'
'-x+1/2,y+1/2,z+1/2'
'-y+3/4,-x+3/4,-z+1/4'
'y+3/4,x+3/4,z+1/4'
'-x,y+1/2,-z'
'x,-y+1/2,z'
'y+3/4,x+1/4,-z+3/4'
'-y+3/4,-x+1/4,z+3/4'
loop_
_atom_site_label
_atom_site_fract_x
_atom_site_fract_y
_atom_site_fract_z
_atom_site_occupancy
Ta1 0.0000 0.2500 0.1240 1
Ta2 0.0000 0.2500 0.7901 1
Al1 0.0000 0.2500 0.2929 1
# **Total energy**: -9.899 eV/atom
# **Energy relative to the elements**: -0.1679 eV/atom
# **Magnetic moment**: 0.000 Bohr magnetons per cell

=====

2.
# TaAlTc2 | Alexandria | GGA-PBEsol | relaxed
data_TaAlTc2
_space_group_name_H-M_alt 'P 4/m m m'
_space_group_IT_number 123
_space_group_name_Hall '-P 4 2'
_cell_length_a 3.1390
_cell_length_b 3.1390
_cell_length_c 6.0066
_cell_angle_alpha 90.00
_cell_angle_beta 90.00
_cell_angle_gamma 90.00
loop_
_atom_site_label
_atom_site_fract_x
_atom_site_fract_y
_atom_site_fract_z
_atom_site_occupancy
Ta1 0.0000 0.0000 0.0000 1
Al1 0.0000 0.0000 0.5000 1
Tc1 0.5000 0.5000 0.2577 1
# **Total energy**: -10.151 eV/atom
# **Energy relative to the elements**: -0.3572 eV/atom
# **Magnetic moment**: 0.001 Bohr magnetons per cell

=====

3.
# TaAlTc2 | Alexandria | GGA-PBEsol | relaxed
data_TaAlTc2
_space_group_name_H-M_alt 'F -4 3 m'
_space_group_IT_number 216
_space_group_name_Hall 'F -4 2 3'
_cell_length_a 6.2058
_cell_length_b 6.2058
_cell_length_c 6.2058
_cell_angle_alpha 90.00
_cell_angle_beta 90.00
_cell_angle_gamma 90.00
loop_
_atom_site_label
_atom_site_fract_x
_atom_site_fract_y
_atom_site_fract_z
_atom_site_occupancy
Ta1 0.0000 0.0000 0.0000 1
Al1 0.2500 0.2500 0.7500 1
Tc1 0.0000 0.0000 0.5000 1
Tc2 0.2500 0.2500 0.2500 1
# **Total energy**: -9.805 eV/atom
# **Energy relative to the elements**: -0.0110 eV/atom
# **Magnetic moment**: 0.001 Bohr magnetons per cell

=====

Question: The highest total energy belongs to which entry?
Answer: number 3

=====

Question: Which value of energy relative to the elements does entry 1 give?
Answer: -0.1679 eV/atom